The following is a PBE calculation of crystalline Sr2Tl8Au at its relaxed geometry, from Alexandria.

a = 5.069 Å, b = 5.069 Å, c = 12.989 Å
α = 90.00°, β = 90.00°, γ = 90.00°
Atoms (fractional coordinates):
Au  0.000  0.000  0.000
Tl  0.500  0.000  0.127
Tl  0.000  0.500  0.127
Tl  0.500  0.000  0.873
Tl  0.000  0.500  0.873
Tl  0.500  0.000  0.500
Tl  0.000  0.500  0.500
Tl  0.500  0.500  0.315
Tl  0.500  0.500  0.685
Sr  0.000  0.000  0.310
Sr  0.000  0.000  0.690

Values from the calculation:
Its calculated total energy is -2.530 eV/atom. For the spin magnetization, the calculation gives 0.000 μB per atom. As for the space group: P4/mmm, No. 123. As for the theoretical density: 9988 kg/m3. The energy of formation from the pure elements is -0.2051 eV per atom. The value obtained for the density of states at the Fermi level is 5.26 states/eV/cell.



The following is a PBE calculation of crystalline TaHgTe2 at its relaxed geometry, from Alexandria.

a = 5.162 Å, b = 3.915 Å, c = 5.342 Å
α = 68.42°, β = 90.00°, γ = 90.00°
Atoms (fractional coordinates):
Hg  0.000  0.533  0.560
Ta  0.500  0.932  0.759
Te  0.500  0.216  0.192
Te  0.000  0.818  0.989

Values from the calculation:
Its calculated total energy is -4.355 eV/atom. The raw formation energy is 254 meV/atom. For the spin magnetization, the calculation gives 0.000 μB per atom. As for the space group: Pm, No. 6. As for the theoretical density: 10531 kg/m3. The value obtained for the density of states at the Fermi level is 1.44 states/eV/cell.



The following is a PBE calculation of crystalline TbPmPb at its relaxed geometry, from Alexandria.

a = 4.629 Å, b = 4.629 Å, c = 8.766 Å
α = 90.01°, β = 89.99°, γ = 90.00°
Atoms (fractional coordinates):
Tb  0.250  0.250  0.000
Tb  0.750  0.750  0.000
Pm  0.250  0.750  0.345
Pm  0.750  0.250  0.655
Pb  0.749  0.251  0.280
Pb  0.251  0.749  0.720

Values from the calculation:
Its calculated total energy is -4.809 eV/atom. For the spin magnetization, the calculation gives 0.000 μB per atom. As for the space group: P4/nmm, No. 129. As for the theoretical density: 9038 kg/m3. The energy of formation from the pure elements is -0.4461 eV per atom. The value obtained for the density of states at the Fermi level is 6.07 states/eV/cell.



The following is a PBE calculation of crystalline CaNd6Hg2 at its relaxed geometry, from Alexandria.

a = 3.781 Å, b = 6.878 Å, c = 12.071 Å
α = 75.71°, β = 80.99°, γ = 74.05°
Atoms (fractional coordinates):
Nd  0.308  0.795  0.589
Nd  0.692  0.205  0.411
Nd  0.982  0.696  0.339
Nd  0.693  0.486  0.127
Nd  0.018  0.304  0.661
Nd  0.307  0.514  0.873
Ca  0.000  0.000  0.000
Hg  0.362  0.073  0.204
Hg  0.638  0.927  0.796

Values from the calculation:
Its calculated total energy is -3.683 eV/atom. For the spin magnetization, the calculation gives 0.000 μB per atom. As for the space group: C2/m, No. 12. As for the theoretical density: 7452 kg/m3. The energy of formation from the pure elements is -0.2150 eV per atom. The value obtained for the density of states at the Fermi level is 9.25 states/eV/cell.



The following is a PBE calculation of crystalline BiSb at its relaxed geometry, from Alexandria.

a = 4.531 Å, b = 4.518 Å, c = 6.379 Å
α = 90.00°, β = 90.00°, γ = 90.00°
Atoms (fractional coordinates):
Bi  0.000  0.285  0.000
Bi  0.500  0.715  0.500
Sb  0.500  0.778  0.000
Sb  0.000  0.222  0.500

Values from the calculation:
Its calculated total energy is -3.966 eV/atom. The raw formation energy is 36 meV/atom. For the spin magnetization, the calculation gives 0.000 μB per atom. As for the space group: Pmmn, No. 59. As for the theoretical density: 8412 kg/m3. The value obtained for the density of states at the Fermi level is 1.35 states/eV/cell.



The following is a PBE calculation of crystalline Re2OsF at its relaxed geometry, from Alexandria.

a = 6.405 Å, b = 6.405 Å, c = 5.327 Å
α = 53.05°, β = 53.05°, γ = 90.00°
Atoms (fractional coordinates):
Re  0.375  0.405  0.750
Re  0.155  0.625  0.250
Re  0.875  0.845  0.750
Re  0.595  0.125  0.250
F  0.500  0.500  0.000
F  0.250  0.750  0.500
Os  0.750  0.250  0.500
Os  0.000  0.000  0.000

Values from the calculation:
Its calculated total energy is -8.835 eV/atom. The raw formation energy is 664 meV/atom. For the spin magnetization, the calculation gives 0.000 μB per atom. As for the space group: I-42d, No. 122. As for the theoretical density: 16785 kg/m3. The value obtained for the density of states at the Fermi level is 9.40 states/eV/cell.